A plane-wave DFT calculation with PBE was carried out for crystalline CaB3P at its relaxed geometry.

Lattice parameters (Å, degrees): 4.6904 4.6904 4.6904 90.00 90.00 90.00
Last column: magnetic moment on the atom in μB.
Atoms (fractional coordinates):
P1 0.5000 0.5000 0.5000  -0.01
B1 0.5000 0.0000 0.0000  0.05
Ca1 0.0000 0.0000 0.0000  0.06
B2 0.0000 0.5000 0.0000  0.05
B3 0.0000 0.0000 0.5000  0.01

## Properties
For the calculated total energy, the calculation gives -2.5797 eV per atom. The calculation puts the offset from the most stable computed form at 1932.0 meV/atom. As for the spin magnetization: 0.05 μB/atom.